Record 1
## MgBiN2F (PBE-GGA)

Data for a relaxed MgBiN2F crystal.

a = 4.3335 Å, b = 4.3335 Å, c = 4.3614 Å
α = 90.00°, β = 90.00°, γ = 90.00°
With the nearest neighbours (Å) after each atom.
Space group P4/mmm (No. 123)
Unique sites:
Mg (0.0000, 0.0000, 0.0000) [1 per cell]  4 F 3.06, 8 N 3.07
Bi (0.5000, 0.5000, 0.5000) [1 per cell]  4 N 2.17, 2 F 2.18
N (0.0000, 0.5000, 0.5000) [2 per cell]  2 Bi 2.17
F (0.5000, 0.5000, 0.0000) [1 per cell]  2 Bi 2.18

calculated volume: 82 Å³ per cell
raw total energy: -4.423 eV/atom

***

Record 2
## Na2ScN (PBE-GGA)

Data for a relaxed Na2ScN crystal.

a = 9.7349 Å, b = 9.7349 Å, c = 4.1174 Å
α = 90.00°, β = 90.00°, γ = 90.00°
With the nearest neighbours (Å) after each atom.
Space group I-42d (No. 122)
Unique sites:
Na (0.0995, 0.2500, 0.1250) [8 per cell]  2 N 2.67
Sc (0.0000, 0.0000, 0.5000) [4 per cell]  2 N 2.06
N (0.0000, 0.0000, 0.0000) [4 per cell]  2 Sc 2.06

calculated volume: 390 Å³ per cell
raw total energy: -4.408 eV/atom

***

Record 3
## Y2InGe3Ir4 (PBE-GGA)

Data for a relaxed Y2InGe3Ir4 crystal.

a = 4.1724 Å, b = 4.1724 Å, c = 10.8466 Å
α = 90.00°, β = 90.00°, γ = 90.00°
With the nearest neighbours (Å) after each atom.
Space group P-4m2 (No. 115)
Unique sites:
Y (0.0000, 0.5000, 0.2362) [2 per cell]  6 Ge 3.18-3.54, 8 Ir 3.20-3.30, 2 In 3.54
In (0.0000, 0.0000, 0.5000) [1 per cell]  4 Ir 2.65, 4 Ge 2.95
Ge (0.0000, 0.5000, 0.8733) [2 per cell]  5 Ir 2.41-2.50
Ge (0.5000, 0.5000, 0.5000) [1 per cell]  4 Ir 2.65, 4 In 2.95
Ir (0.0000, 0.0000, 0.0000) [1 per cell]  4 Ge 2.50
Ir (0.0000, 0.5000, 0.6507) [2 per cell]  3 Ge 2.41-2.65, 2 In 2.65
Ir (0.5000, 0.5000, 0.0000) [1 per cell]  4 Ge 2.50

calculated volume: 189 Å³ per cell
ΔH_f (0 K): -63.3 kJ/mol of atoms
raw total energy: -7.153 eV/atom